This record from the Alexandria database describes an optimized crystal structure of VPRhO2. The functional is PBE+U.

The structure belongs to space group P4/mmm (No. 123); the cell edges are 3.6006, 3.6006 and 5.3706 Å and the angles 90.00°, 90.00° and 90.00°. Symmetry generates all atoms from V at (0.0000, 0.0000, 0.0000), P at (0.0000, 0.0000, 0.5000), Rh at (0.5000, 0.5000, 0.5000) and O at (0.0000, 0.5000, 0.0000).

The uncorrected energy comes out at -6.56 eV per atom. For the volume, the calculation gives 69.63 Å³/cell. The energy above the most stable polymorph in this dataset comes out at 0 meV per atom.